(1)
VASP calculation (PBE) on BeIn3Se after structural relaxation.

The structure belongs to space group Pm-3m (No. 221); the cell edges are 5.635, 5.635 and 5.635 Å and the angles 90.00°, 90.00° and 90.00°. The inequivalent atoms are Be at (0.000, 0.000, 0.000), In at (0.000, 0.500, 0.500) and Se at (0.500, 0.500, 0.500).

As for the formation energy (no corrections): 4.14 eV/f.u. The total magnetic moment comes out at 0.0 μB/f.u. The value obtained for the energy above the lowest structure with this stoichiometry is 3.81 eV per formula unit.

***

(2)
VASP calculation (PBE) on BeIn2Se after structural relaxation.

The structure belongs to space group P4mm (No. 99); the cell edges are 3.421, 3.421 and 7.738 Å and the angles 90.00°, 90.00° and 90.00°. The inequivalent atoms are Be at (0.000, 0.000, 0.000), In at (0.000, 0.000, 0.668), In at (0.500, 0.500, 0.414) and Se at (0.500, 0.500, 0.056).

As for the formation energy (no corrections): 0.10 eV/f.u. The total magnetic moment comes out at 0.0 μB/f.u. The value obtained for the energy above the lowest structure with this stoichiometry is 0.73 eV per formula unit.

***

(3)
VASP calculation (PBE) on BeInSe2 after structural relaxation.

The structure belongs to space group Amm2 (No. 38); the cell edges are 5.849, 3.507 and 10.894 Å and the angles 90.00°, 90.00° and 90.00°. The inequivalent atoms are Be at (0.000, 0.000, 0.000), In at (0.000, 0.000, 0.240) and Se at (0.253, 0.000, 0.459).

As for the formation energy (no corrections): -0.60 eV/f.u. The total magnetic moment comes out at 0.0 μB/f.u. The value obtained for the energy above the lowest structure with this stoichiometry is 1.19 eV per formula unit.

***

(4)
VASP calculation (PBE) on BeIn2Se after structural relaxation.

The structure belongs to space group F-43m (No. 216); the cell edges are 7.124, 7.124 and 7.124 Å and the angles 90.00°, 90.00° and 90.00°. The inequivalent atoms are Be at (0.000, 0.000, 0.000), In at (0.000, 0.000, 0.500), In at (0.250, 0.250, 0.750) and Se at (0.250, 0.250, 0.250).

As for the formation energy (no corrections): 2.10 eV/f.u. The total magnetic moment comes out at 0.0 μB/f.u. The value obtained for the energy above the lowest structure with this stoichiometry is 2.73 eV per formula unit.

***

(5)
VASP calculation (PBE) on BeInSe2 after structural relaxation.

The structure belongs to space group I-42d (No. 122); the cell edges are 6.111, 6.111 and 10.493 Å and the angles 90.00°, 90.00° and 90.00°. The inequivalent atoms are Be at (0.000, 0.000, 0.000), In at (0.000, 0.000, 0.500) and Se at (0.167, 0.250, 0.125).

As for the formation energy (no corrections): -1.79 eV/f.u. The total magnetic moment comes out at 0.0 μB/f.u. The value obtained for the energy above the lowest structure with this stoichiometry is 0.00 eV per formula unit.

***

(6)
VASP calculation (PBE) on BeInSe2 after structural relaxation.

The structure belongs to space group Imm2 (No. 44); the cell edges are 3.486, 3.698 and 13.061 Å and the angles 90.00°, 90.00° and 90.00°. The inequivalent atoms are Be at (0.000, 0.000, 0.000), In at (0.000, 0.500, 0.754), Se at (0.000, 0.000, 0.585) and Se at (0.000, 0.500, 0.381).

As for the formation energy (no corrections): -0.19 eV/f.u. The total magnetic moment comes out at 0.0 μB/f.u. The value obtained for the energy above the lowest structure with this stoichiometry is 1.59 eV per formula unit.

***

(7)
VASP calculation (PBE) on BeIn2Se after structural relaxation.

The structure belongs to space group Cmm2 (No. 35); the cell edges are 3.670, 6.203 and 8.488 Å and the angles 90.00°, 90.00° and 90.00°. The inequivalent atoms are Be at (0.000, 0.000, 0.000), In at (0.000, 0.000, 0.444), In at (0.000, 0.500, 0.761) and Se at (0.000, 0.500, 0.127).

As for the formation energy (no corrections): 0.16 eV/f.u. The total magnetic moment comes out at 0.0 μB/f.u. The value obtained for the energy above the lowest structure with this stoichiometry is 0.79 eV per formula unit.

***

(8)
VASP calculation (PBE) on BeInSe2 after structural relaxation.

The structure belongs to space group Fm-3m (No. 225); the cell edges are 6.831, 6.831 and 6.831 Å and the angles 90.00°, 90.00° and 90.00°. The inequivalent atoms are Be at (0.000, 0.000, 0.000), In at (0.000, 0.000, 0.500) and Se at (0.250, 0.250, 0.250).

As for the formation energy (no corrections): 1.34 eV/f.u. The total magnetic moment comes out at 0.0 μB/f.u. The value obtained for the energy above the lowest structure with this stoichiometry is 3.12 eV per formula unit.

***

(9)
VASP calculation (PBE) on BeInSe2 after structural relaxation.

The structure belongs to space group Immm (No. 71); the cell edges are 3.264, 4.853 and 11.583 Å and the angles 90.00°, 90.00° and 90.00°. The inequivalent atoms are Be at (0.000, 0.000, 0.000), In at (0.000, 0.000, 0.500) and Se at (0.000, 0.500, 0.357).

As for the formation energy (no corrections): -0.41 eV/f.u. The total magnetic moment comes out at 0.0 μB/f.u. The value obtained for the energy above the lowest structure with this stoichiometry is 1.38 eV per formula unit.

***

(10)
VASP calculation (PBE) on BeIn2Se after structural relaxation.

The structure belongs to space group C2/m (No. 12); the cell edges are 5.978, 8.074 and 3.896 Å and the angles 90.00°, 107.91° and 90.00°. The inequivalent atoms are Be at (0.000, 0.000, 0.000), In at (0.250, 0.250, 0.500) and Se at (0.000, 0.500, 0.000).

As for the formation energy (no corrections): 1.26 eV/f.u. The total magnetic moment comes out at 0.0 μB/f.u. The value obtained for the energy above the lowest structure with this stoichiometry is 1.89 eV per formula unit.

***

(11)
VASP calculation (PBE) on BeInSe2 after structural relaxation.

The structure belongs to space group P2/m (No. 10); the cell edges are 4.127, 3.432 and 6.667 Å and the angles 90.00°, 91.16° and 90.00°. The inequivalent atoms are Be at (0.000, 0.000, 0.000), In at (0.500, 0.000, 0.500) and Se at (0.115, 0.500, 0.785).

As for the formation energy (no corrections): -0.68 eV/f.u. The total magnetic moment comes out at 0.0 μB/f.u. The value obtained for the energy above the lowest structure with this stoichiometry is 1.11 eV per formula unit.

***

(12)
VASP calculation (PBE) on BeIn2Se after structural relaxation.

The structure belongs to space group Cm (No. 8); the cell edges are 10.166, 3.505 and 5.718 Å and the angles 90.00°, 115.15° and 90.00°. The inequivalent atoms are Be at (0.000, 0.000, 0.000), In at (0.071, 0.500, 0.428), In at (0.254, 0.500, 0.108) and Se at (0.407, 0.000, 0.750).

As for the formation energy (no corrections): -0.02 eV/f.u. The total magnetic moment comes out at 0.0 μB/f.u. The value obtained for the energy above the lowest structure with this stoichiometry is 0.61 eV per formula unit.

***

(13)
VASP calculation (PBE) on BeInSe3 after structural relaxation.

The structure belongs to space group Pm-3m (No. 221); the cell edges are 4.718, 4.718 and 4.718 Å and the angles 90.00°, 90.00° and 90.00°. The inequivalent atoms are Be at (0.000, 0.000, 0.000), In at (0.500, 0.500, 0.500) and Se at (0.000, 0.000, 0.500).

As for the formation energy (no corrections): 0.55 eV/f.u. The total magnetic moment comes out at 0.0 μB/f.u. The value obtained for the energy above the lowest structure with this stoichiometry is 0.00 eV per formula unit.

***

(14)
VASP calculation (PBE) on BeInSe2 after structural relaxation.

The structure belongs to space group P4mm (No. 99); the cell edges are 3.137, 3.137 and 9.199 Å and the angles 90.00°, 90.00° and 90.00°. The inequivalent atoms are Be at (0.000, 0.000, 0.000), In at (0.500, 0.500, 0.414), Se at (0.000, 0.000, 0.762) and Se at (0.500, 0.500, 0.089).

As for the formation energy (no corrections): -0.48 eV/f.u. The total magnetic moment comes out at 0.0 μB/f.u. The value obtained for the energy above the lowest structure with this stoichiometry is 1.31 eV per formula unit.

***

(15)
VASP calculation (PBE) on BeIn2Se after structural relaxation.

The structure belongs to space group C2/m (No. 12); the cell edges are 6.613, 3.796 and 7.290 Å and the angles 90.00°, 107.29° and 90.00°. The inequivalent atoms are Be at (0.000, 0.000, 0.000), In at (0.243, 0.500, 0.227) and Se at (0.000, 0.500, 0.500).

As for the formation energy (no corrections): 0.48 eV/f.u. The total magnetic moment comes out at 0.0 μB/f.u. The value obtained for the energy above the lowest structure with this stoichiometry is 1.10 eV per formula unit.